First-principles (PBE) data for a relaxed MgCrAgOs2 crystal, as listed in the Alexandria database.

Properties
- Spin magnetization: 1.44 μB/cell
- Electronic total energy: -5.0199 eV per atom
- D(E_F): 1.697 states/eV per atom
- Formation enthalpy at 0 K: 1103 kJ/mol of formula units

POSCAR file:
```
MgCrAgOs2
1.0
4.533 0.000 0.000
0.000 4.392 0.000
0.000 0.000 4.533
Cr Mg Os Ag
1 1 2 1
direct
0.500 0.500 0.500
0.000 0.000 0.000
0.000 0.000 0.500
0.500 0.000 0.000
0.000 0.500 0.000
```

First-principles (PBE) data for a relaxed MgScCr2Ag crystal, as listed in the Alexandria database.

Properties
- Spin magnetization: 8.31 μB/cell
- Electronic total energy: -5.0508 eV per atom
- D(E_F): 0.861 states/eV per atom
- Formation enthalpy at 0 K: 460 kJ/mol of formula units

POSCAR file:
```
MgScCr2Ag
1.0
4.999 0.000 0.000
0.000 4.830 0.000
0.000 0.000 4.999
Sc Cr Mg Ag
1 2 1 1
direct
0.500 0.500 0.500
0.000 0.000 0.500
0.500 0.000 0.000
0.000 0.500 0.000
0.000 0.000 0.000
```

First-principles (PBE) data for a relaxed MgCr2AgSe crystal, as listed in the Alexandria database.

Properties
- Spin magnetization: 8.85 μB/cell
- Electronic total energy: -4.5648 eV per atom
- D(E_F): 0.512 states/eV per atom

POSCAR file:
```
MgCr2AgSe
1.0
5.014 0.000 0.000
0.000 4.934 0.000
0.000 0.000 5.014
Cr Mg Se Ag
2 1 1 1
direct
0.000 0.000 0.500
0.500 0.000 0.000
0.000 0.500 0.000
0.500 0.500 0.500
0.000 0.000 0.000
```

First-principles (PBE) data for a relaxed MnCrAg crystal, as listed in the Alexandria database.

Properties
- Excess energy over the best structure of this formula in the dataset: 153 meV per atom
- Spin magnetization: 0.75 μB/cell
- Electronic total energy: -6.7790 eV per atom
- D(E_F): 0.973 states/eV per atom
- Formation enthalpy at 0 K: 126 kJ/mol of formula units

POSCAR file:
```
MnCrAg
1.0
-2.251 -1.693 0.352
1.137 0.331 -2.580
3.880 -4.936 1.075
Ag Cr Mn
1 1 1
direct
0.000 0.000 0.999
0.667 0.333 0.371
0.333 0.667 0.630
```

First-principles (PBE) data for a relaxed MnCrAg4 crystal, as listed in the Alexandria database.

Properties
- Spin magnetization: 9.10 μB/cell
- Electronic total energy: -4.5258 eV per atom
- D(E_F): 0.877 states/eV per atom
- Formation enthalpy at 0 K: 294 kJ/mol of formula units

POSCAR file:
```
MnCrAg4
1.0
-1.270 2.718 4.537
0.411 5.422 0.127
-4.490 3.065 0.167
Mn Cr Ag
1 1 4
direct
0.000 0.000 0.000
0.750 0.750 0.750
0.875 0.375 0.375
0.375 0.375 0.875
0.375 0.875 0.375
0.375 0.375 0.375
```

First-principles (PBE) data for a relaxed MnCr4Ag crystal, as listed in the Alexandria database.

Properties
- Spin magnetization: 0.47 μB/cell
- Electronic total energy: -8.0161 eV per atom
- D(E_F): 1.067 states/eV per atom
- Formation enthalpy at 0 K: 233 kJ/mol of formula units

POSCAR file:
```
MnCr4Ag
1.0
1.860 -1.714 4.046
-0.053 2.656 3.964
-2.864 -1.186 3.628
Mn Cr Ag
1 4 1
direct
0.750 0.750 0.750
0.878 0.374 0.374
0.374 0.374 0.878
0.374 0.878 0.374
0.374 0.374 0.374
0.000 0.000 0.000
```

First-principles (PBE) data for a relaxed MnCrAg crystal, as listed in the Alexandria database.

Properties
- Excess energy over the best structure of this formula in the dataset: 417 meV per atom
- Spin magnetization: 0.12 μB/cell
- Electronic total energy: -6.5153 eV per atom
- D(E_F): 0.526 states/eV per atom
- Formation enthalpy at 0 K: 202 kJ/mol of formula units

POSCAR file:
```
MnCrAg
1.0
-1.415 1.169 -3.841
-0.018 -2.802 -3.205
-3.691 -1.533 -1.466
Ag Cr Mn
1 1 1
direct
0.000 0.000 0.000
0.500 0.500 0.500
0.750 0.750 0.750
```

First-principles (PBE) data for a relaxed Mn2Cr2Ag crystal, as listed in the Alexandria database.

Properties
- Spin magnetization: 0.46 μB/cell
- Electronic total energy: -7.7874 eV per atom
- D(E_F): 0.597 states/eV per atom
- Formation enthalpy at 0 K: 145 kJ/mol of formula units

POSCAR file:
```
Mn2Cr2Ag
1.0
7.082 0.000 0.000
0.000 7.082 0.000
0.000 0.000 2.771
Cr Mn Ag
4 4 2
direct
0.154 0.654 0.500
0.654 0.846 0.500
0.846 0.346 0.500
0.346 0.154 0.500
0.362 0.862 0.000
0.862 0.638 0.000
0.638 0.138 0.000
0.138 0.362 0.000
0.000 0.000 0.000
0.500 0.500 0.000
```

First-principles (PBE) data for a relaxed MnCrAg crystal, as listed in the Alexandria database.

Properties
- Excess energy over the best structure of this formula in the dataset: 130 meV per atom
- Spin magnetization: 0.04 μB/cell
- Electronic total energy: -6.8028 eV per atom
- D(E_F): 0.645 states/eV per atom
- Formation enthalpy at 0 K: 119 kJ/mol of formula units

POSCAR file:
```
MnCrAg
1.0
4.348 0.000 0.000
-2.174 3.765 0.000
0.000 0.000 2.843
Ag Cr Mn
1 1 1
direct
0.000 0.000 0.991
0.667 0.333 0.395
0.333 0.667 0.614
```

First-principles (PBE) data for a relaxed MnCr3Ag crystal, as listed in the Alexandria database.

Properties
- Excess energy over the best structure of this formula in the dataset: 507 meV per atom
- Spin magnetization: 8.38 μB/cell
- Electronic total energy: -6.5153 eV per atom
- D(E_F): 0.684 states/eV per atom
- Formation enthalpy at 0 K: 802 kJ/mol of formula units

POSCAR file:
```
MnCr3Ag
1.0
-2.798 3.329 -2.335
-2.471 -3.643 -2.233
-3.229 -0.097 3.732
Cr Mn Ag
3 1 1
direct
0.000 0.500 0.000
0.000 0.000 0.500
0.500 0.000 0.000
0.500 0.500 0.500
0.000 0.000 0.000
```

First-principles (PBE) data for a relaxed MnCrAg crystal, as listed in the Alexandria database.

Properties
- Excess energy over the best structure of this formula in the dataset: 0 meV per atom
- Spin magnetization: 0.10 μB/cell
- Electronic total energy: -6.9324 eV per atom
- D(E_F): 0.635 states/eV per atom
- Formation enthalpy at 0 K: 82 kJ/mol of formula units

POSCAR file:
```
MnCrAg
1.0
5.141 -0.466 0.323
4.440 2.479 0.938
0.701 -0.460 2.973
Ag Cr Mn
1 1 1
direct
0.999 0.999 0.001
0.690 0.690 0.310
0.310 0.310 0.690
```

First-principles (PBE) data for a relaxed MnCr3Ag crystal, as listed in the Alexandria database.

Properties
- Excess energy over the best structure of this formula in the dataset: 0 meV per atom
- Spin magnetization: 0.02 μB/cell
- Electronic total energy: -7.0221 eV per atom
- D(E_F): 1.478 states/eV per atom
- Formation enthalpy at 0 K: 558 kJ/mol of formula units

POSCAR file:
```
MnCr3Ag
1.0
-4.188 -0.057 -0.507
-0.435 -1.790 3.796
-0.266 3.820 1.771
Cr Mn Ag
3 1 1
direct
0.000 0.500 0.000
0.000 0.000 0.500
0.500 0.000 0.000
0.000 0.000 0.000
0.500 0.500 0.500
```

First-principles (PBE) data for a relaxed NaMn2CrAg crystal, as listed in the Alexandria database.

Properties
- Spin magnetization: 3.92 μB/cell
- Electronic total energy: -5.2277 eV per atom
- D(E_F): 0.667 states/eV per atom
- Formation enthalpy at 0 K: 578 kJ/mol of formula units

POSCAR file:
```
NaMn2CrAg
1.0
-3.352 0.037 -3.716
3.486 -1.855 -3.163
-1.386 -4.656 1.203
Cr Mn Ag Na
1 2 1 1
direct
0.500 0.500 0.500
0.000 0.000 0.500
0.500 0.000 0.000
0.000 0.000 0.000
0.000 0.500 0.000
```

First-principles (PBE) data for a relaxed MnCrReAg2 crystal, as listed in the Alexandria database.

Properties
- Spin magnetization: 1.34 μB/cell
- Electronic total energy: -5.5080 eV per atom
- D(E_F): 1.720 states/eV per atom
- Formation enthalpy at 0 K: 907 kJ/mol of formula units

POSCAR file:
```
MnCrReAg2
1.0
4.728 0.000 0.000
0.000 4.350 0.000
0.000 0.000 4.728
Re Mn Ag Cr
1 1 2 1
direct
0.000 0.500 0.000
0.000 0.000 0.000
0.000 0.000 0.500
0.500 0.000 0.000
0.500 0.500 0.500
```

First-principles (PBE) data for a relaxed MnCr2Ag2S6 crystal, as listed in the Alexandria database.

Properties
- Spin magnetization: 9.01 μB/cell
- Electronic total energy: -5.8402 eV per atom
- D(E_F): 0.009 states/eV per atom

POSCAR file:
```
MnCr2Ag2S6
1.0
-3.391 -0.055 -4.998
4.972 -3.415 0.308
-3.506 -6.404 1.470
Mn Cr Ag S
1 2 2 6
direct
0.000 0.000 0.500
0.339 0.661 0.500
0.661 0.339 0.500
0.846 0.154 0.000
0.154 0.846 0.000
0.626 0.626 0.678
0.952 0.283 0.674
0.374 0.374 0.322
0.283 0.952 0.674
0.048 0.717 0.326
0.717 0.048 0.326
```

First-principles (PBE) data for a relaxed ScMnCrAg2 crystal, as listed in the Alexandria database.

Properties
- Spin magnetization: 0.08 μB/cell
- Electronic total energy: -4.7263 eV per atom
- D(E_F): 2.275 states/eV per atom
- Formation enthalpy at 0 K: 694 kJ/mol of formula units

POSCAR file:
```
ScMnCrAg2
1.0
-2.653 3.112 -2.608
0.020 -2.740 -3.290
-4.060 -2.051 1.683
Sc Cr Mn Ag
1 1 1 2
direct
0.000 0.500 0.000
0.500 0.500 0.500
0.000 0.000 0.000
0.000 0.000 0.500
0.500 0.000 0.000
```

First-principles (PBE) data for a relaxed MnCr2Ag2Se6 crystal, as listed in the Alexandria database.

Properties
- Spin magnetization: 9.02 μB/cell
- Electronic total energy: -5.3708 eV per atom
- D(E_F): 0.111 states/eV per atom

POSCAR file:
```
MnCr2Ag2Se6
1.0
6.355 -0.037 -0.456
-3.173 5.506 -0.456
-1.779 -3.057 8.235
Mn Cr Ag Se
1 2 2 6
direct
0.000 0.000 0.500
0.340 0.660 0.500
0.660 0.340 0.500
0.643 0.357 0.000
0.357 0.643 0.000
0.807 0.807 0.682
0.127 0.459 0.675
0.193 0.193 0.318
0.459 0.127 0.675
0.873 0.541 0.325
0.541 0.873 0.325
```

First-principles (PBE) data for a relaxed CrAgMo2 crystal, as listed in the Alexandria database.

Properties
- Excess energy over the best structure of this formula in the dataset: 257 meV per atom
- Spin magnetization: 1.18 μB/cell
- Electronic total energy: -7.9816 eV per atom
- D(E_F): 1.139 states/eV per atom
- Formation enthalpy at 0 K: 213 kJ/mol of formula units

POSCAR file:
```
CrAgMo2
1.0
4.741 0.000 0.000
1.315 4.555 0.000
-3.028 -2.277 2.850
Ag Cr Mo
1 1 2
direct
0.500 0.500 0.000
0.750 0.250 0.500
0.000 0.000 0.000
0.250 0.750 0.500
```

First-principles (PBE) data for a relaxed CrAgMo2 crystal, as listed in the Alexandria database.

Properties
- Excess energy over the best structure of this formula in the dataset: 228 meV per atom
- Spin magnetization: 0.61 μB/cell
- Electronic total energy: -8.0107 eV per atom
- D(E_F): 0.954 states/eV per atom
- Formation enthalpy at 0 K: 202 kJ/mol of formula units

POSCAR file:
```
CrAgMo2
1.0
-4.672 0.404 -1.861
0.238 -0.154 5.038
0.199 2.625 0.071
Ag Cr Mo
1 1 2
direct
0.500 0.000 0.500
0.000 0.500 0.500
0.000 0.000 0.000
0.500 0.500 0.000
```

First-principles (PBE) data for a relaxed CrAgMo2 crystal, as listed in the Alexandria database.

Properties
- Excess energy over the best structure of this formula in the dataset: 138 meV per atom
- Spin magnetization: 1.87 μB/cell
- Electronic total energy: -8.1007 eV per atom
- D(E_F): 0.949 states/eV per atom
- Formation enthalpy at 0 K: 167 kJ/mol of formula units

POSCAR file:
```
CrAgMo2
1.0
-2.020 1.963 1.421
0.267 -1.658 2.671
4.849 3.685 1.803
Ag Cr Mo
1 1 2
direct
0.000 0.000 0.514
0.500 0.500 0.778
0.000 0.000 0.988
0.500 0.500 0.220
```